Record 1
# YAlZn

A relaxed structure of YAlZn (PBE-GGA, the Alexandria database).

The structure belongs to space group C2/c (No. 15); the cell edges are 4.057, 10.844 and 5.674 Å and the angles 90.00°, 90.29° and 90.00°. The inequivalent atoms are Y at (0.000, 0.201, 0.250), Al at (0.000, 0.088, 0.750) and Zn at (0.000, 0.500, 0.000).

The value obtained for the energy of formation is -35.8 kJ/mol of atoms. The density of states at the Fermi level comes out at 1.7 states/eV/f.u.


Record 2
# Ce3PuGe3

A relaxed structure of Ce3PuGe3 (PBE-GGA, the Alexandria database).

The structure belongs to space group C2/m (No. 12); the cell edges are 8.026, 9.883 and 8.821 Å and the angles 90.00°, 91.69° and 90.00°. The inequivalent atoms are Ce at (0.000, 0.175, 0.000), Ce at (0.000, 0.224, 0.500), Ce at (0.004, 0.500, 0.203), Pu at (0.247, 0.000, 0.430), Ge at (0.090, 0.000, 0.738) and Ge at (0.247, 0.255, 0.242).

The value obtained for the energy of formation is -46.6 kJ/mol of atoms. The density of states at the Fermi level comes out at 13.5 states/eV/f.u.


Record 3
# Ni3AgPd

A relaxed structure of Ni3AgPd (PBE-GGA, the Alexandria database).

The structure belongs to space group Pm-3m (No. 221); the cell edges are 4.564, 4.564 and 4.564 Å and the angles 90.00°, 90.00° and 90.00°. The inequivalent atoms are Ni at (0.000, 0.000, 0.500), Ag at (0.500, 0.500, 0.500) and Pd at (0.000, 0.000, 0.000).

The value obtained for the energy of formation is 117.0 kJ/mol of atoms. The density of states at the Fermi level comes out at 12.4 states/eV/f.u.


Record 4
# ZrBiB2Cl

A relaxed structure of ZrBiB2Cl (PBE-GGA, the Alexandria database).

The structure belongs to space group P4/mmm (No. 123); the cell edges are 4.642, 4.642 and 4.900 Å and the angles 90.00°, 90.00° and 90.00°. The inequivalent atoms are Zr at (0.000, 0.000, 0.000), Bi at (0.500, 0.500, 0.500), B at (0.000, 0.500, 0.000) and Cl at (0.000, 0.000, 0.500).

The value obtained for the raw formation energy is 0.929 eV per atom. The density of states at the Fermi level comes out at 2.5 states/eV/f.u.


Record 5
# PmErGaTc

A relaxed structure of PmErGaTc (PBE-GGA, the Alexandria database).

The structure belongs to space group F-43m (No. 216); the cell edges are 7.064, 7.064 and 7.064 Å and the angles 90.00°, 90.00° and 90.00°. The inequivalent atoms are Pm at (0.000, 0.000, 0.000), Er at (0.000, 0.000, 0.500), Ga at (0.250, 0.250, 0.750) and Tc at (0.250, 0.250, 0.250).

The value obtained for the energy of formation is -17.4 kJ/mol of atoms. The density of states at the Fermi level comes out at 3.8 states/eV/f.u.


Record 6
# Tb5Pd3

A relaxed structure of Tb5Pd3 (PBE-GGA, the Alexandria database).

The structure belongs to space group P4/ncc (No. 130, origin choice 2); the cell edges are 11.205, 11.205 and 6.401 Å and the angles 90.00°, 90.00° and 90.00°. The inequivalent atoms are Tb at (0.041, 0.160, 0.129), Tb at (0.250, 0.750, 0.000), Pd at (0.095, 0.595, 0.750) and Pd at (0.250, 0.250, 0.388).

The value obtained for the energy of formation is -65.4 kJ/mol of atoms. The density of states at the Fermi level comes out at 8.2 states/eV/f.u.


Record 7
# Pm5Si2Se2

A relaxed structure of Pm5Si2Se2 (PBE-GGA, the Alexandria database).

The structure belongs to space group Cmce (No. 64); the cell edges are 14.978, 7.771 and 7.831 Å and the angles 90.00°, 90.00° and 90.00°. The inequivalent atoms are Pm at (0.000, 0.000, 0.000), Pm at (0.134, 0.172, 0.331), Si at (0.000, 0.119, 0.619) and Se at (0.201, 0.000, 0.000).

The value obtained for the raw formation energy is -1.172 eV per atom. The density of states at the Fermi level comes out at 6.7 states/eV/f.u.


Record 8
# Al2Cu2Au

A relaxed structure of Al2Cu2Au (PBE-GGA, the Alexandria database).

The structure belongs to space group P4/mbm (No. 127); the cell edges are 6.786, 6.786 and 3.295 Å and the angles 90.00°, 90.00° and 90.00°. The inequivalent atoms are Al at (0.150, 0.350, 0.000), Cu at (0.139, 0.639, 0.500) and Au at (0.000, 0.000, 0.000).

The value obtained for the energy of formation is -10.0 kJ/mol of atoms. The density of states at the Fermi level comes out at 1.6 states/eV/f.u.


Record 9
# CePmHoTh

A relaxed structure of CePmHoTh (PBE-GGA, the Alexandria database).

The structure belongs to space group F-43m (No. 216); the cell edges are 8.013, 8.013 and 8.013 Å and the angles 90.00°, 90.00° and 90.00°. The inequivalent atoms are Ce at (0.000, 0.000, 0.000), Pm at (0.250, 0.250, 0.750), Ho at (0.000, 0.000, 0.500) and Th at (0.250, 0.250, 0.250).

The value obtained for the energy of formation is 21.7 kJ/mol of atoms. The density of states at the Fermi level comes out at 13.5 states/eV/f.u.


Record 10
# Y3TaTi

A relaxed structure of Y3TaTi (PBE-GGA, the Alexandria database).

The structure belongs to space group Pm-3m (No. 221); the cell edges are 5.190, 5.190 and 5.190 Å and the angles 90.00°, 90.00° and 90.00°. The inequivalent atoms are Y at (0.000, 0.000, 0.500), Ta at (0.500, 0.500, 0.500) and Ti at (0.000, 0.000, 0.000).

The value obtained for the energy of formation is 114.4 kJ/mol of atoms. The density of states at the Fermi level comes out at 9.5 states/eV/f.u.


Record 11
# Tc2MoPtN

A relaxed structure of Tc2MoPtN (PBE-GGA, the Alexandria database).

The structure belongs to space group P4/mmm (No. 123); the cell edges are 4.051, 4.051 and 4.088 Å and the angles 90.00°, 90.00° and 90.00°. The inequivalent atoms are Tc at (0.000, 0.500, 0.000), Mo at (0.000, 0.000, 0.500), Pt at (0.500, 0.500, 0.500) and N at (0.000, 0.000, 0.000).

The value obtained for the raw formation energy is -0.157 eV per atom. The density of states at the Fermi level comes out at 3.8 states/eV/f.u.


Record 12
# LiBeSi2

A relaxed structure of LiBeSi2 (PBE-GGA, the Alexandria database).

The structure belongs to space group F222 (No. 22); the cell edges are 5.065, 5.108 and 7.685 Å and the angles 90.00°, 90.00° and 90.00°. The inequivalent atoms are Li at (0.000, 0.000, 0.000), Be at (0.250, 0.250, 0.750), Si at (0.000, 0.000, 0.500) and Si at (0.250, 0.250, 0.250).

The value obtained for the raw formation energy is 0.170 eV per atom. The density of states at the Fermi level comes out at 1.7 states/eV/f.u.